The following is a GGA-PBE calculation of Zr3Os2 after structural relaxation, from Alexandria.

Energy of formation: -0.37 eV/atom
Raw total energy: -9.99 eV/atom

a b c (Å): 4.5646 4.5646 5.6806
angles (deg): 90.00 90.00 120.00
With the nearest neighbours (Å) after each atom.
Positions (direct):
Zr: 0.0000 0.0000 0.0000  6 Os 2.80
Zr: 0.3333 0.6667 0.3427  5 Os 2.78-2.90
Zr: 0.6667 0.3333 0.6573  5 Os 2.78-2.90
Os: 0.3333 0.6667 0.8325  8 Zr 2.78-2.90
Os: 0.6667 0.3333 0.1675  8 Zr 2.78-2.90